Entry 1:
Na2HW | GGA-PBE | optimized geometry

Output
**Density of states at the Fermi level**: 0.736 states/eV/atom
**Calculated density**: 5.3 g/cm³
**Offset from the most stable computed form**: 0.0 kJ per mole of atoms

Unit cell a=6.2050 b=6.2050 c=5.7562 alpha=57.39 beta=57.39 gamma=90.00
Last column: nearest neighbours and their distance in Å.
Atoms (fractional coordinates):
Na1 0.4863 0.1250 0.2500  2 H 1.94
Na2 0.2637 0.6250 0.2500  2 H 1.94
Na3 0.3750 0.5137 0.7500  2 H 1.94
Na4 0.8750 0.7363 0.7500  2 H 1.94
W1 0.0000 0.0000 0.0000  8 Na 3.02-3.27
W2 0.7500 0.2500 0.5000  8 Na 3.02-3.27
H1 0.5000 0.5000 0.0000  4 Na 1.94
H2 0.2500 0.7500 0.5000  4 Na 1.94

Entry 2:
Sm3DyTh | GGA-PBE | optimized geometry

Output
**Density of states at the Fermi level**: 1.668 states/eV/atom
**Calculated density**: 7.8 g/cm³
**Formation enthalpy at 0 K**: 0.307 eV/atom
**Offset from the most stable computed form**: 24.7 kJ per mole of atoms

Unit cell a=6.8849 b=6.8849 c=9.5807 alpha=68.94 beta=68.94 gamma=60.00
Last column: nearest neighbours and their distance in Å.
Atoms (fractional coordinates):
Sm1 0.2552 0.7692 0.2062  3 Th 3.31-3.58, 4 Sm 3.34-3.54, 1 Dy 3.55
Sm2 0.7694 0.2552 0.2062  3 Th 3.31-3.58, 4 Sm 3.34-3.54, 1 Dy 3.55
Sm3 0.7692 0.7694 0.2062  3 Th 3.31-3.58, 4 Sm 3.34-3.54, 1 Dy 3.55
Sm4 0.2308 0.2306 0.7938  3 Th 3.31-3.58, 4 Sm 3.34-3.54, 1 Dy 3.55
Sm5 0.2306 0.7448 0.7938  3 Th 3.31-3.58, 4 Sm 3.34-3.54, 1 Dy 3.55
Sm6 0.7448 0.2308 0.7938  3 Th 3.31-3.58, 4 Sm 3.34-3.54, 1 Dy 3.55
Dy1 0.8173 0.8173 0.5480  1 Th 3.13
Dy2 0.1827 0.1827 0.4520  1 Th 3.13
Th1 0.6977 0.6977 0.9069  1 Dy 3.13, 3 Sm 3.31
Th2 0.3023 0.3023 0.0931  1 Dy 3.13, 3 Sm 3.31

Entry 3:
Nd2LuSc | GGA-PBE | optimized geometry

Output
**Density of states at the Fermi level**: 1.586 states/eV/atom
**Calculated density**: 6.9 g/cm³
**Formation enthalpy at 0 K**: 0.043 eV/atom
**Offset from the most stable computed form**: 0.4 kJ per mole of atoms

Unit cell a=4.8073 b=5.0615 c=5.0615 alpha=90.00 beta=90.00 gamma=90.00
Last column: nearest neighbours and their distance in Å.
Atoms (fractional coordinates):
Sc1 0.5000 0.0000 0.0000  8 Nd 3.49, 4 Lu 3.58
Lu1 0.5000 0.5000 0.5000  8 Nd 3.49, 4 Sc 3.58
Nd1 0.0000 0.0000 0.5000  4 Sc 3.49, 4 Lu 3.49, 4 Nd 3.58
Nd2 0.0000 0.5000 0.0000  4 Sc 3.49, 4 Lu 3.49, 4 Nd 3.58

Entry 4:
Na2Sn3GePt4 | GGA-PBE | optimized geometry

Output
**Density of states at the Fermi level**: 0.550 states/eV/atom
**Calculated density**: 9.4 g/cm³
**Formation enthalpy at 0 K**: -0.442 eV/atom

Unit cell a=4.4637 b=4.4637 c=11.0797 alpha=90.00 beta=90.00 gamma=90.00
Last column: nearest neighbours and their distance in Å.
Atoms (fractional coordinates):
Na1 0.5000 0.0000 0.2481  6 Sn 3.40-3.57, 8 Pt 3.45-3.54, 2 Ge 3.57
Na2 0.0000 0.5000 0.7519  6 Sn 3.40-3.57, 8 Pt 3.45-3.54, 2 Ge 3.57
Sn1 0.0000 0.0000 0.5000  4 Pt 2.63
Sn2 0.5000 0.0000 0.8654  5 Pt 2.65-2.68
Sn3 0.0000 0.5000 0.1346  5 Pt 2.65-2.68
Ge1 0.5000 0.5000 0.5000  4 Pt 2.63
Pt1 0.5000 0.5000 0.0000  4 Sn 2.68
Pt2 0.0000 0.0000 0.0000  4 Sn 2.68
Pt3 0.5000 0.0000 0.6263  2 Ge 2.63, 3 Sn 2.63-2.65
Pt4 0.0000 0.5000 0.3737  3 Sn 2.63-2.65, 2 Ge 2.63

Entry 5:
PmHfSb2 | GGA-PBE | optimized geometry

Output
**Density of states at the Fermi level**: 1.218 states/eV/atom
**Uncorrected formation energy**: -11.9 meV per atom
**Calculated density**: 8.6 g/cm³
**Offset from the most stable computed form**: 74.3 kJ per mole of atoms

Unit cell a=3.3650 b=3.3650 c=11.3652 alpha=81.49 beta=81.49 gamma=60.00
Last column: nearest neighbours and their distance in Å.
Atoms (fractional coordinates):
Sb1 0.0870 0.0870 0.7390  1 Hf 2.92
Sb2 0.9130 0.9130 0.2610  1 Hf 2.92
Hf1 0.0000 0.0000 0.0000  2 Sb 2.92
Pm1 0.5000 0.5000 0.5000  6 Sb 3.31, 6 Pm 3.36

Entry 6:
FeH2Rh | GGA-PBE | optimized geometry

Output
**VASP energy**: -22.33 eV per cell
**Density of states at the Fermi level**: 0.597 states/eV/atom
**Calculated density**: 8.3 g/cm³

Unit cell a=2.8636 b=2.8635 c=4.5467 alpha=90.01 beta=90.01 gamma=60.00
Last column: nearest neighbours and their distance in Å.
Atoms (fractional coordinates):
Fe1 0.5324 0.5320 0.7651  4 H 1.72-1.86
H1 0.5320 0.5321 0.1423  1 Fe 1.72, 3 Rh 1.78
H2 0.8654 0.8654 0.5787  3 Fe 1.86
Rh1 0.1986 0.1988 0.2858  3 H 1.78

Entry 7:
NaCdH2Pd4 | GGA-PBE | optimized geometry

Output
**VASP energy**: -30.61 eV per cell
**Density of states at the Fermi level**: 0.230 states/eV/atom
**Calculated density**: 7.2 g/cm³

Unit cell a=3.8337 b=3.8337 c=8.8893 alpha=90.00 beta=90.00 gamma=90.00
Last column: nearest neighbours and their distance in Å.
Atoms (fractional coordinates):
Na1 0.0000 0.0000 0.5000  8 Pd 3.06
Cd1 0.0000 0.0000 0.0000  8 Pd 2.82
H1 0.5000 0.5000 0.2502  4 Pd 1.92
H2 0.5000 0.5000 0.7498  4 Pd 1.92
Pd1 0.0000 0.5000 0.2322  2 H 1.92
Pd2 0.5000 0.0000 0.7678  2 H 1.92
Pd3 0.5000 0.0000 0.2322  2 H 1.92
Pd4 0.0000 0.5000 0.7678  2 H 1.92

Entry 8:
LiCuSiRh | GGA-PBE | optimized geometry

Output
**Density of states at the Fermi level**: 0.392 states/eV/atom
**Uncorrected formation energy**: -492.1 meV per atom
**Calculated density**: 6.9 g/cm³

Unit cell a=4.0877 b=4.0877 c=4.0877 alpha=60.00 beta=60.00 gamma=60.00
Last column: nearest neighbours and their distance in Å.
Atoms (fractional coordinates):
Si1 0.7500 0.7500 0.7500  4 Rh 2.50, 4 Cu 2.50
Rh1 0.0000 0.0000 0.0000  4 Si 2.50, 4 Li 2.50
Cu1 0.5000 0.5000 0.5000  4 Li 2.50, 4 Si 2.50
Li1 0.2500 0.2500 0.2500  4 Cu 2.50, 4 Rh 2.50

Entry 9:
CaEr2Pb | GGA-PBE | optimized geometry

Output
**Density of states at the Fermi level**: 1.100 states/eV/atom
**Calculated density**: 8.3 g/cm³
**Formation enthalpy at 0 K**: -0.216 eV/atom
**Offset from the most stable computed form**: 0.0 kJ per mole of atoms

Unit cell a=4.8718 b=4.9019 c=4.9019 alpha=90.00 beta=90.00 gamma=90.00
Last column: nearest neighbours and their distance in Å.
Atoms (fractional coordinates):
Pb1 0.5000 0.5000 0.5000  8 Er 3.46, 4 Ca 3.47
Ca1 0.5000 0.0000 0.0000  8 Er 3.46, 4 Pb 3.47
Er1 0.0000 0.0000 0.5000  4 Pb 3.46, 4 Ca 3.46, 4 Er 3.47
Er2 0.0000 0.5000 0.0000  4 Pb 3.46, 4 Ca 3.46, 4 Er 3.47

Entry 10:
Nb3RhCl | GGA-PBE | optimized geometry

Output
**Density of states at the Fermi level**: 1.142 states/eV/atom
**Uncorrected formation energy**: 1129.5 meV per atom
**Calculated density**: 5.9 g/cm³
**Offset from the most stable computed form**: 44.6 kJ per mole of atoms

Unit cell a=4.8936 b=4.8936 c=4.8936 alpha=90.00 beta=90.00 gamma=90.00
Last column: nearest neighbours and their distance in Å.
Atoms (fractional coordinates):
Nb1 0.0000 0.5000 0.0000  2 Rh 2.45
Nb2 0.0000 0.0000 0.5000  2 Rh 2.45
Nb3 0.5000 0.0000 0.0000  2 Rh 2.45
Rh1 0.0000 0.0000 0.0000  6 Nb 2.45
Cl1 0.5000 0.5000 0.5000  12 Nb 3.46

Entry 11:
Sr3CeAl2O8 | GGA-PBE | optimized geometry

Output
**Uncorrected formation energy**: -2958.8 meV per atom
**Calculated density**: 4.5 g/cm³

Unit cell a=5.8394 b=5.8394 c=7.2768 alpha=90.00 beta=90.00 gamma=120.00
Last column: nearest neighbours and their distance in Å.
Atoms (fractional coordinates):
Sr1 0.3333 0.6667 0.6629  1 O 2.23
Sr2 0.6667 0.3333 0.3371  1 O 2.23
Sr3 0.0000 0.0000 0.0000  6 O 2.87
Ce1 0.0000 0.0000 0.5000  6 O 2.23
Al1 0.3333 0.6667 0.2040  4 O 1.71-1.80
Al2 0.6667 0.3333 0.7960  4 O 1.71-1.80
O1 0.3333 0.6667 0.9692  1 Al 1.71
O2 0.6667 0.3333 0.0308  1 Al 1.71
O3 0.1734 0.8266 0.3117  1 Al 1.80
O4 0.8266 0.1734 0.6883  1 Al 1.80
O5 0.1734 0.3468 0.3117  1 Al 1.80
O6 0.8266 0.6532 0.6883  1 Al 1.80
O7 0.6532 0.8266 0.3117  1 Al 1.80
O8 0.3468 0.1734 0.6883  1 Al 1.80